The following is a GGA-PBE calculation of a geometry-optimized GaAsIN2 structure, from Alexandria.

Cell and atoms, written as CIF:
```
data_GaAsIN2
_chemical_formula_sum 'Ga1 As1 I1 N2'
_cell_length_a 3.893
_cell_length_b 3.893
_cell_length_c 7.220
_cell_angle_alpha 90.00
_cell_angle_beta 90.00
_cell_angle_gamma 90.00
_space_group_name_H-M_alt 'P 4/m m m'
_space_group_IT_number 123
_space_group_name_Hall '-P 4 2'
loop_
_atom_site_label
_atom_site_fract_x
_atom_site_fract_y
_atom_site_fract_z
Ga1 0.000 0.000 0.000
As1 0.500 0.500 0.500
I1 0.000 0.000 0.500
N1 0.000 0.500 0.000
```

Properties
- Formation energy (no corrections): 1.497 eV per atom
- Calculated density: 4.5 g cm⁻³
- Relative energy among the computed polymorphs: 228 meV/atom
- Total magnetization: 0.000 μB per formula unit